--- P ---
Compound: CrFe3O
Source: Alexandria
Functional: PBE with a Hubbard U
Structure: relaxed

extended XYZ file:
```
5
Lattice="-2.2949 2.2512 -2.8158 -3.0440 0.5784 2.9433 1.9315 3.5862 1.2929" Properties=species:S:1:pos:R:3 pbc="T T T"
Cr -1.7037 3.2079 0.7102
Fe -1.5220 0.2892 1.4716
Fe 0.9658 1.7931 0.6464
Fe -1.1474 1.1256 -1.4079
O 0.0000 0.0000 0.0000
```

- D(E_F): 1.64 states/eV per cell
- Magnetic moment: 15.6 μB/f.u.

--- Q ---
Compound: CrFe3O
Source: Alexandria
Functional: PBE with a Hubbard U
Structure: relaxed

extended XYZ file:
```
5
Lattice="4.6813 0.0000 0.0000 0.0000 4.6813 0.0000 0.0000 0.0000 4.6813" Properties=species:S:1:pos:R:3 pbc="T T T"
Cr 0.0000 0.0000 0.0000
Fe 0.0000 2.3407 0.0000
Fe 0.0000 0.0000 2.3407
Fe 2.3407 0.0000 0.0000
O 2.3407 2.3407 2.3407
```

- D(E_F): 7.53 states/eV per cell
- Magnetic moment: 4.6 μB/f.u.

Tell me which of them is the least stable. Sure, it is Q.

--- P ---
Compound: CrFeO2
Source: Alexandria
Functional: PBE with a Hubbard U
Structure: relaxed

extended XYZ file:
```
4
Lattice="0.6060 -0.2345 6.3205 3.4240 0.5695 5.3219 1.2139 2.7177 5.6135" Properties=species:S:1:pos:R:3 pbc="T T T"
Cr 0.0000 0.0000 0.0000
Fe 2.6219 1.5264 8.6280
O 4.6677 2.7173 15.3599
O 0.5762 0.3354 1.8961
```

- D(E_F): 0.69 states/eV per cell
- Magnetic moment: 9.1 μB/f.u.

--- Q ---
Compound: CrFeO2
Source: Alexandria
Functional: PBE with a Hubbard U
Structure: relaxed

extended XYZ file:
```
16
Lattice="-0.7648 -0.8193 -5.2928 -0.7699 -4.8671 2.3518 -5.7865 3.0145 1.6173" Properties=species:S:1:pos:R:3 pbc="T T T"
Cr -5.9762 -2.1219 2.6187
Cr -3.3779 -2.9558 -2.7236
Cr -3.9433 0.2838 1.3998
Cr -1.3450 -0.5500 -3.9425
Fe -4.5761 -2.4773 -0.0039
Fe -5.9481 -0.0658 -1.1953
Fe -1.3732 -2.6061 -0.1286
Fe -2.7452 -0.1946 -1.3200
O -2.7951 -1.2931 0.6437
O -1.4128 -1.5556 -2.0980
O -1.2678 -3.5715 1.8770
O -4.0721 1.1581 -0.5222
O -3.2491 -3.8300 -0.8016
O -6.0534 0.8995 -3.2008
O -5.9084 -1.1164 0.7741
O -4.5261 -1.3789 -1.9676
```

- Magnetic moment: 8.0 μB/f.u.

Tell me which of them is the least stable. Sure, it is P.

--- P ---
Compound: CrFePO2
Source: Alexandria
Functional: PBE with a Hubbard U
Structure: relaxed

extended XYZ file:
```
5
Lattice="-3.2645 -1.7325 0.2106 1.7449 -3.2490 0.3199 0.0496 0.5383 5.1968" Properties=species:S:1:pos:R:3 pbc="T T T"
Cr -0.7350 -2.2216 2.8637
Fe 0.0000 0.0000 0.0000
O 0.8725 -1.6245 0.1599
O -1.6323 -0.8663 0.1053
P 0.0248 0.2691 2.5984
```

- D(E_F): 3.17 states/eV per cell
- Magnetic moment: 7.7 μB/f.u.

--- Q ---
Compound: CrFePO2
Source: Alexandria
Functional: PBE with a Hubbard U
Structure: relaxed

extended XYZ file:
```
5
Lattice="-2.3746 2.3502 1.5438 0.9879 -1.1946 3.3380 3.7009 3.6101 0.1967" Properties=species:S:1:pos:R:3 pbc="T T T"
Cr 0.0000 0.0000 0.0000
Fe 1.1571 2.3828 2.5393
O 0.4939 -0.5973 1.6690
O -1.1873 1.1751 0.7719
P 1.8505 1.8050 0.0983
```

- D(E_F): 1.20 states/eV per cell
- Magnetic moment: 5.7 μB/f.u.

Tell me which of them is the least stable. Sure, it is P.

--- P ---
Compound: RbCr2FeO8
Source: Alexandria
Functional: PBE with a Hubbard U
Structure: relaxed

extended XYZ file:
```
48
Lattice="-2.4199 2.9015 4.0435 -1.4028 -7.6203 4.6285 13.3792 1.6718 6.8073" Properties=species:S:1:pos:R:3 pbc="T T T"
Rb 3.1923 -5.8533 8.0040
Rb 6.3643 2.8063 7.4753
Rb -0.8791 -1.0376 5.8987
Rb 10.4357 -2.0093 9.5806
Cr 2.2804 0.8290 6.4501
Cr 7.2762 -3.8760 9.0292
Cr 0.5875 -4.7069 5.6225
Cr 8.9691 1.6600 9.8568
Cr 3.1013 -2.2987 9.1857
Cr 6.4553 -0.7482 6.2936
Cr -0.0479 -0.5717 2.2750
Cr 9.6045 -2.4753 13.2044
Fe 3.3009 -2.4675 5.6395
Fe 6.2557 -0.5794 9.8398
Fe -1.1197 -5.1405 8.6988
Fe 10.6763 2.0935 6.7805
O 3.1138 -3.6197 10.1411
O 6.4428 0.5728 5.3382
O -0.5588 -1.9581 2.9640
O 10.1154 -1.0889 12.5153
O -0.7707 -4.6361 4.7589
O 10.3273 1.5891 10.7205
O 3.7293 1.2506 7.0147
O 5.8273 -4.2976 8.4646
O 5.0587 -1.6268 6.0882
O 4.4979 -1.4202 9.3911
O -2.6434 -4.7098 7.4779
O 12.2000 1.6628 8.0014
O 1.5332 -3.3615 5.2231
O 8.0234 0.3146 10.2562
O 1.7972 1.9959 5.3236
O 7.7594 -5.0428 10.1557
O 1.1660 0.7457 7.7087
O 7.1984 -2.3632 9.7628
O 1.4255 -6.1247 5.2758
O 9.3233 1.6483 8.2114
O 8.3906 -3.7927 7.7706
O 2.3582 -0.6838 5.7165
O 8.1311 3.0778 10.2035
O 0.2333 -4.6953 7.2679
O 1.4097 -0.8811 1.4916
O 9.3468 -3.6045 11.9827
O 1.7577 -1.3696 9.5926
O 6.5990 -0.2387 7.8917
O 8.1469 -2.1658 13.9877
O 0.2098 0.5576 3.4966
O 7.7989 -1.6774 5.8867
O 2.9576 -2.8083 7.5877
```

- D(E_F): 0.00 states/eV per cell
- Magnetic moment: 5.1 μB/f.u.

--- Q ---
Compound: RbCr2FeO8
Source: Alexandria
Functional: PBE with a Hubbard U
Structure: relaxed

extended XYZ file:
```
12
Lattice="5.3957 0.0000 0.0000 -2.6978 4.6728 0.0000 0.0000 0.0000 7.9747" Properties=species:S:1:pos:R:3 pbc="T T T"
Rb 0.0000 0.0000 0.0000
Cr 2.6978 1.5576 2.2635
Cr 0.0000 3.1152 5.7112
Fe 0.0000 0.0000 3.9874
O 0.0000 3.1152 7.3389
O 1.1709 1.1005 2.7877
O 3.8571 0.4638 2.7877
O 2.6978 1.5576 0.6358
O -1.1593 4.2090 5.1870
O 1.5269 3.5722 5.1870
O -0.3676 1.5643 5.1870
O 3.0655 3.1085 2.7877
```

- D(E_F): 0.00 states/eV per cell
- Magnetic moment: 4.9 μB/f.u.

Tell me which of them is the least stable. Sure, it is P.